(1)
TlSi2W, relaxed, DFT PBE; energy above the lowest structure with this stoichiometry = 0.00 eV/f.u.
1.0
3.1239 0.0000 0.0000
0.0000 3.3094 0.0000
-1.2794 0.0000 7.3863
Tl Si W
1 2 1
Cartesian
0.0000 0.0000 0.0000
0.9392 1.6547 2.4113
0.9052 1.6547 4.9750
-0.6397 0.0000 3.6932

(2)
TlSi2W, relaxed, DFT PBE; energy above the lowest structure with this stoichiometry = 2.73 eV/f.u.
1.0
3.2767 0.0000 0.0000
0.0000 4.5033 0.0000
0.0000 0.0000 4.7485
Tl Si W
1 2 1
Cartesian
0.0000 0.0000 0.0000
0.0000 2.2516 2.3742
1.6384 2.2516 0.0000
1.6384 0.0000 2.3742

| no. | electronic total energy (eV/cell) | V (Å³/atom) | raw formation energy (meV/atom) |
| --- | --- | --- | --- |
| 1 | -25.0 | 19.09 | 293 |
| 2 | -22.3 | 17.52 | 976 |